1.
## K4RuO4 (PBE)

Data for crystalline K4RuO4 at its relaxed geometry.

Lattice parameters (Å, degrees): 6.3950 6.3950 11.0963 90.00 90.00 90.00
With the nearest neighbours (Å) after each atom.
Space group I-42m (No. 121)
Symmetry-distinct sites (fractional):
K 0.0000 0.0000 0.2074  2 O 2.62
K 0.0000 0.5000 0.0000  4 O 2.63
Ru 0.0000 0.0000 0.5000  4 O 1.92
O 0.1713 0.1713 0.6023  1 Ru 1.92

## Properties
E_form (uncorrected) in kJ per mole of atoms: -107
Raw total energy in eV per cell: -86.896
Density in Mg/m³: 2.35



2.
## K2RuO5 (PBE)

Data for crystalline K2RuO5 at its relaxed geometry.

Lattice parameters (Å, degrees): 6.3094 8.0737 11.6289 90.00 90.00 90.00
With the nearest neighbours (Å) after each atom.
Space group P2_12_12_1 (No. 19)
Symmetry-distinct sites (fractional):
K 0.0119 0.1515 0.3202  7 O 2.72-2.99
K 0.0463 0.6202 0.5517  6 O 2.67-2.87
Ru 0.0660 0.0628 0.6368  5 O 1.77-1.83
O 0.0627 0.4608 0.9847  1 Ru 1.83
O 0.1165 0.2491 0.5616  1 Ru 1.77
O 0.1753 0.5592 0.7831  1 Ru 1.78
O 0.2150 0.1225 0.7657  1 Ru 1.83
O 0.2371 0.1019 0.1241  1 Ru 1.83

## Properties
Distance to the lowest polymorph of the same formula in eV/atom: 0.000
E_form (uncorrected) in kJ per mole of atoms: -107
Raw total energy in eV per cell: -180.613
Density in Mg/m³: 2.91



3.
## KRu2O4 (PBE)

Data for crystalline KRu2O4 at its relaxed geometry.

Lattice parameters (Å, degrees): 9.5581 3.1477 11.0384 90.00 90.00 90.00
With the nearest neighbours (Å) after each atom.
Space group Pnma (No. 62)
Symmetry-distinct sites (fractional):
K 0.2444 0.2500 0.1515  8 O 2.59-2.82
Ru 0.0655 0.2500 0.3848  6 O 2.03-2.08
Ru 0.0833 0.2500 0.8931  6 O 2.06
O 0.0218 0.7500 0.7849  3 Ru 2.05-2.06
O 0.0628 0.2500 0.5686  3 Ru 2.03-2.06
O 0.1020 0.7500 0.0119  3 Ru 2.06
O 0.2043 0.7500 0.3602  3 Ru 2.06-2.08

## Properties
E_form (uncorrected) in kJ per mole of atoms: -98
Raw total energy in eV per cell: -186.452
Density in Mg/m³: 6.10



4.
## K2RuO (PBE)

Data for crystalline K2RuO at its relaxed geometry.

Lattice parameters (Å, degrees): 11.4010 11.4010 3.8088 90.00 90.00 90.00
With the nearest neighbours (Å) after each atom.
Space group I-42d (No. 122)
Symmetry-distinct sites (fractional):
K 0.0349 0.2500 0.1250  2 O 2.92, 2 Ru 3.21
Ru 0.0000 0.0000 0.5000  2 O 1.90
O 0.0000 0.0000 0.0000  2 Ru 1.90

## Properties
E_form (uncorrected) in kJ per mole of atoms: -30
Raw total energy in eV per cell: -70.752
Density in Mg/m³: 2.62